1.
Compound: InMoN2
Source: Alexandria
Functional: PBE
Structure: relaxed

a b c (Å): 5.6873 5.6873 6.0825
angles (deg): 62.13 62.13 90.00
Closest atoms and distances in Å follow each position.
Sites, in units of the cell vectors:
Mo 0.5000 0.5000 0.0000  4 N 1.89
Mo 0.2500 0.7500 0.5000  4 N 1.89
N 0.4642 0.1250 0.2500  2 Mo 1.89
N 0.2858 0.6250 0.2500  2 Mo 1.89
N 0.3750 0.5358 0.7500  2 Mo 1.89
N 0.8750 0.7142 0.7500  2 Mo 1.89
In 0.0000 0.0000 0.0000  4 N 2.96
In 0.7500 0.2500 0.5000  4 N 2.96

Output
Crystal system: tetragonal
VASP energy (eV for the cell shown): -60.16
Uncorrected formation energy (meV/atom): 35

2.
Compound: In3Mo5N12
Source: Alexandria
Functional: PBE
Structure: relaxed

a b c (Å): 11.0034 11.0034 11.0034
angles (deg): 109.47 109.47 109.47
Closest atoms and distances in Å follow each position.
Sites, in units of the cell vectors:
In 0.7500 0.3750 0.1250  8 N 2.50-2.53
In 0.8750 0.7500 0.1250  8 N 2.50-2.53
In 0.3750 0.7500 0.6250  8 N 2.50-2.53
In 0.2500 0.1250 0.3750  8 N 2.50-2.53
In 0.8750 0.1250 0.2500  8 N 2.50-2.53
In 0.3750 0.6250 0.2500  8 N 2.50-2.53
In 0.6250 0.3750 0.7500  8 N 2.50-2.53
In 0.1250 0.8750 0.7500  8 N 2.50-2.53
In 0.7500 0.8750 0.6250  8 N 2.50-2.53
In 0.6250 0.2500 0.3750  8 N 2.50-2.53
In 0.1250 0.2500 0.8750  8 N 2.50-2.53
In 0.2500 0.6250 0.8750  8 N 2.50-2.53
Mo 0.1250 0.3750 0.2500  4 N 1.89
Mo 0.0000 0.5000 0.0000  6 N 2.05
Mo 0.0000 0.0000 0.0000  6 N 2.05
Mo 0.3750 0.2500 0.1250  4 N 1.89
Mo 0.5000 0.0000 0.5000  6 N 2.05
Mo 0.5000 0.5000 0.0000  6 N 2.05
Mo 0.1250 0.7500 0.3750  4 N 1.89
Mo 0.7500 0.1250 0.8750  4 N 1.89
Mo 0.7500 0.6250 0.3750  4 N 1.89
Mo 0.3750 0.1250 0.7500  4 N 1.89
Mo 0.6250 0.8750 0.2500  4 N 1.89
Mo 0.5000 0.5000 0.5000  6 N 2.05
Mo 0.5000 0.0000 0.0000  6 N 2.05
Mo 0.0000 0.0000 0.5000  6 N 2.05
Mo 0.2500 0.3750 0.6250  4 N 1.89
Mo 0.2500 0.8750 0.1250  4 N 1.89
Mo 0.0000 0.5000 0.5000  6 N 2.05
Mo 0.8750 0.2500 0.6250  4 N 1.89
Mo 0.6250 0.7500 0.8750  4 N 1.89
Mo 0.8750 0.6250 0.7500  4 N 1.89
N 0.7043 0.1119 0.0224  2 Mo 1.89-2.05
N 0.3181 0.5224 0.4106  2 Mo 1.89-2.05
N 0.9776 0.3881 0.2957  2 Mo 1.89-2.05
N 0.5224 0.2043 0.1119  2 Mo 1.89-2.05
N 0.5924 0.7043 0.6819  2 Mo 1.89-2.05
N 0.9776 0.5894 0.1819  2 Mo 1.89-2.05
N 0.3181 0.7957 0.4076  2 Mo 1.89-2.05
N 0.0894 0.9076 0.1119  2 Mo 1.89-2.05
N 0.5894 0.9776 0.6819  2 Mo 1.89-2.05
N 0.7043 0.5924 0.1819  2 Mo 1.89-2.05
N 0.7957 0.4776 0.3881  2 Mo 1.89-2.05
N 0.8181 0.9106 0.0224  2 Mo 1.89-2.05
N 0.1119 0.7043 0.5224  2 Mo 1.89-2.05
N 0.3881 0.4106 0.0924  2 Mo 1.89-2.05
N 0.0924 0.9106 0.3881  2 Mo 1.89-2.05
N 0.4076 0.1119 0.5894  2 Mo 1.89-2.05
N 0.0924 0.1819 0.2043  2 Mo 1.89-2.05
N 0.4776 0.6819 0.0894  2 Mo 1.89-2.05
N 0.8181 0.9076 0.2957  2 Mo 1.89-2.05
N 0.1119 0.4076 0.0894  2 Mo 1.89-2.05
N 0.3881 0.9776 0.7957  2 Mo 1.89-2.05
N 0.5894 0.6119 0.4076  2 Mo 1.89-2.05
N 0.9106 0.8181 0.5224  2 Mo 1.89-2.05
N 0.7957 0.3181 0.9076  2 Mo 1.89-2.05
N 0.4106 0.3881 0.5924  2 Mo 1.89-2.05
N 0.0894 0.1819 0.4776  2 Mo 1.89-2.05
N 0.2043 0.6819 0.0924  2 Mo 1.89-2.05
N 0.1819 0.0924 0.7043  2 Mo 1.89-2.05
N 0.6119 0.0224 0.2043  2 Mo 1.89-2.05
N 0.8881 0.5924 0.9106  2 Mo 1.89-2.05
N 0.5224 0.3181 0.9106  2 Mo 1.89-2.05
N 0.5924 0.8881 0.4106  2 Mo 1.89-2.05
N 0.9076 0.8181 0.7957  2 Mo 1.89-2.05
N 0.9076 0.0894 0.6119  2 Mo 1.89-2.05
N 0.8881 0.2957 0.4776  2 Mo 1.89-2.05
N 0.1819 0.0894 0.9776  2 Mo 1.89-2.05
N 0.6119 0.5894 0.9076  2 Mo 1.89-2.05
N 0.4106 0.0224 0.3181  2 Mo 1.89-2.05
N 0.2957 0.4076 0.8181  2 Mo 1.89-2.05
N 0.2043 0.5224 0.6119  2 Mo 1.89-2.05
N 0.9106 0.0924 0.8881  2 Mo 1.89-2.05
N 0.6819 0.2043 0.5924  2 Mo 1.89-2.05
N 0.4776 0.7957 0.8881  2 Mo 1.89-2.05
N 0.0224 0.4106 0.8181  2 Mo 1.89-2.05
N 0.4076 0.2957 0.3181  2 Mo 1.89-2.05
N 0.0224 0.6119 0.7043  2 Mo 1.89-2.05
N 0.6819 0.4776 0.5894  2 Mo 1.89-2.05
N 0.2957 0.8881 0.9776  2 Mo 1.89-2.05

Output
Crystal system: cubic
VASP energy (eV for the cell shown): -636.66
Uncorrected formation energy (meV/atom): 156

3.
Compound: InMo3N
Source: Alexandria
Functional: PBE
Structure: relaxed

a b c (Å): 4.1923 4.1923 4.1923
angles (deg): 90.00 90.00 90.00
Closest atoms and distances in Å follow each position.
Sites, in units of the cell vectors:
Mo 0.0000 0.5000 0.0000  2 N 2.10
Mo 0.0000 0.0000 0.5000  2 N 2.10
Mo 0.5000 0.0000 0.0000  2 N 2.10
N 0.0000 0.0000 0.0000  6 Mo 2.10
In 0.5000 0.5000 0.5000  12 Mo 2.96

Output
E above lowest polymorph (meV/atom): 0
Crystal system: cubic
VASP energy (eV for the cell shown): -43.80
Uncorrected formation energy (meV/atom): -49

4.
Compound: NaIn2MoN4
Source: Alexandria
Functional: PBE
Structure: relaxed

a b c (Å): 5.1959 5.1959 5.9544
angles (deg): 115.87 115.87 90.01
Closest atoms and distances in Å follow each position.
Sites, in units of the cell vectors:
Na 0.0001 0.0001 0.0002  4 N 2.41
In 0.7500 0.2500 0.5001  4 N 2.23
In 0.2500 0.7500 0.5001  4 N 2.23
Mo 0.5000 0.5000 0.0000  4 N 1.90
N 0.5900 0.5900 0.7612  1 Mo 1.90
N 0.4101 0.8288 0.2389  1 Mo 1.90
N 0.8288 0.4101 0.2389  1 Mo 1.90
N 0.1712 0.1712 0.7612  1 Mo 1.90

Output
Crystal system: tetragonal
VASP energy (eV for the cell shown): -51.45
Uncorrected formation energy (meV/atom): -65

5.
Compound: Nb2InMoN
Source: Alexandria
Functional: PBE
Structure: relaxed

a b c (Å): 4.3287 4.3287 4.1975
angles (deg): 90.00 90.00 90.00
Closest atoms and distances in Å follow each position.
Sites, in units of the cell vectors:
Mo 0.0000 0.0000 0.5000  2 N 2.10
N 0.0000 0.0000 0.0000  2 Mo 2.10, 4 Nb 2.16
Nb 0.0000 0.5000 0.0000  2 N 2.16
Nb 0.5000 0.0000 0.0000  2 N 2.16
In 0.5000 0.5000 0.5000  8 Nb 3.01, 4 Mo 3.06

Output
Crystal system: tetragonal
VASP energy (eV for the cell shown): -43.61
Uncorrected formation energy (meV/atom): -314

6.
Compound: InNi2MoN
Source: Alexandria
Functional: PBE
Structure: relaxed

a b c (Å): 3.9624 3.9624 4.0754
angles (deg): 90.00 90.00 90.00
Closest atoms and distances in Å follow each position.
Sites, in units of the cell vectors:
Ni 0.0000 0.5000 0.0000  2 N 1.98
Ni 0.5000 0.0000 0.0000  2 N 1.98
Mo 0.0000 0.0000 0.5000  2 N 2.04
N 0.0000 0.0000 0.0000  4 Ni 1.98, 2 Mo 2.04
In 0.5000 0.5000 0.5000  4 Mo 2.80, 8 Ni 2.84

Output
Crystal system: tetragonal
VASP energy (eV for the cell shown): -33.92
Uncorrected formation energy (meV/atom): -92

The evaluated calculated density for the records listed, in turn: 5.372; 6.426; 9.390; 5.311; 8.669; 8.880 g cm⁻³.
The evaluated density of states at the Fermi level for the records listed, in turn: 1.635; 6.043; 3.994; 2.987; 2.737; 1.057 states/eV/f.u..